Record 1
The following is a DFT calculation (GGA-PBE) of crystalline SrEuCdIn at its relaxed geometry.

The crystal system is cubic. Its total energy is -68.8 eV/cell. The space group is No. 216.

a = 8.016 Å, b = 8.016 Å, c = 8.016 Å
α = 90.00°, β = 90.00°, γ = 90.00°
Sites, in units of the cell vectors:
Sr (0.000, 0.000, 0.000)
Sr (0.000, 0.500, 0.500)
Sr (0.500, 0.000, 0.500)
Sr (0.500, 0.500, 0.000)
Eu (0.000, 0.000, 0.500)
Eu (0.000, 0.500, 0.000)
Eu (0.500, 0.000, 0.000)
Eu (0.500, 0.500, 0.500)
Cd (0.250, 0.250, 0.250)
Cd (0.250, 0.750, 0.750)
Cd (0.750, 0.250, 0.750)
Cd (0.750, 0.750, 0.250)
In (0.250, 0.250, 0.750)
In (0.250, 0.750, 0.250)
In (0.750, 0.250, 0.250)
In (0.750, 0.750, 0.750)


Record 2
The following is a DFT calculation (GGA-PBE) of crystalline SrCaRh2 at its relaxed geometry.

The crystal system is tetragonal. Its total energy is -18.4 eV/cell. The space group is No. 99.

a = 3.571 Å, b = 3.571 Å, c = 8.336 Å
α = 90.00°, β = 90.00°, γ = 90.00°
Sites, in units of the cell vectors:
Sr (0.000, 0.000, 0.000)
Ca (0.500, 0.500, 0.422)
Rh (0.000, 0.000, 0.653)
Rh (0.500, 0.500, 0.748)


Record 3
The following is a DFT calculation (GGA-PBE) of crystalline CdTe2Mo at its relaxed geometry.

The crystal system is trigonal. Its total energy is -54.1 eV/cell. The calculation puts the formation energy without anion corrections at 0 meV/atom. The space group is No. 166.

a = 3.456 Å, b = 3.456 Å, c = 31.867 Å
α = 90.00°, β = 90.00°, γ = 120.00°
Sites, in units of the cell vectors:
Cd (0.000, 0.000, 0.000)
Cd (0.333, 0.667, 0.667)
Cd (0.667, 0.333, 0.333)
Te (0.000, 0.000, 0.108)
Te (0.000, 0.000, 0.892)
Te (0.333, 0.667, 0.559)
Te (0.333, 0.667, 0.774)
Te (0.667, 0.333, 0.226)
Te (0.667, 0.333, 0.441)
Mo (0.000, 0.000, 0.500)
Mo (0.333, 0.667, 0.167)
Mo (0.667, 0.333, 0.833)


Record 4
The following is a DFT calculation (GGA-PBE) of crystalline KHf3Pd at its relaxed geometry.

The crystal system is cubic. Its total energy is -25.6 eV/cell. The calculation puts the energy above the lowest structure with this stoichiometry at 132.78 kJ/mol of atoms. The space group is No. 221.

a = 4.798 Å, b = 4.798 Å, c = 4.798 Å
α = 90.00°, β = 90.00°, γ = 90.00°
Sites, in units of the cell vectors:
K (0.000, 0.000, 0.000)
Hf (0.000, 0.000, 0.500)
Hf (0.000, 0.500, 0.000)
Hf (0.500, 0.000, 0.000)
Pd (0.500, 0.500, 0.500)


Record 5
The following is a DFT calculation (GGA-PBE) of crystalline Pu3Ga8 at its relaxed geometry.

The crystal system is orthorhombic. Its total energy is -70.6 eV/cell. The space group is No. 71.

a = 13.346 Å, b = 13.346 Å, c = 13.346 Å
α = 162.95°, β = 161.11°, γ = 25.55°
Sites, in units of the cell vectors:
Pu (0.000, 0.000, 0.000)
Pu (0.353, 0.853, 0.500)
Pu (0.647, 0.147, 0.500)
Ga (0.094, 0.594, 0.500)
Ga (0.190, 0.690, 0.500)
Ga (0.254, 0.254, 0.000)
Ga (0.452, 0.452, 0.000)
Ga (0.548, 0.548, 0.000)
Ga (0.746, 0.746, 0.000)
Ga (0.810, 0.310, 0.500)
Ga (0.906, 0.406, 0.500)


Record 6
The following is a DFT calculation (GGA-PBE) of crystalline CePa2Ge3 at its relaxed geometry.

The crystal system is monoclinic. Its total energy is -167.4 eV/cell. The space group is No. 14.

a = 5.889 Å, b = 12.496 Å, c = 8.336 Å
α = 90.00°, β = 90.00°, γ = 90.00°
Sites, in units of the cell vectors:
Ce (0.250, 0.082, 0.125)
Ce (0.250, 0.418, 0.625)
Ce (0.750, 0.582, 0.375)
Ce (0.750, 0.918, 0.875)
Pa (0.249, 0.748, 0.625)
Pa (0.249, 0.752, 0.125)
Pa (0.250, 0.084, 0.624)
Pa (0.250, 0.416, 0.124)
Pa (0.750, 0.584, 0.876)
Pa (0.750, 0.916, 0.376)
Pa (0.751, 0.248, 0.875)
Pa (0.751, 0.252, 0.375)
Ge (0.250, 0.586, 0.369)
Ge (0.250, 0.586, 0.880)
Ge (0.250, 0.914, 0.380)
Ge (0.250, 0.914, 0.869)
Ge (0.251, 0.249, 0.875)
Ge (0.251, 0.251, 0.375)
Ge (0.749, 0.749, 0.625)
Ge (0.749, 0.751, 0.125)
Ge (0.750, 0.086, 0.131)
Ge (0.750, 0.086, 0.620)
Ge (0.750, 0.414, 0.120)
Ge (0.750, 0.414, 0.631)